Here is an optimized crystal structure of V2InGe from Alexandria. Energies are from PBE.

a = 5.100 Å, b = 5.100 Å, c = 5.100 Å
α = 49.55°, β = 49.55°, γ = 49.55°
Element x y z (fractional)
V: 0.205 0.205 0.205
V: 0.795 0.795 0.795
In: 0.000 0.000 0.000
Ge: 0.500 0.500 0.500

Uncorrected energy (eV per atom): -6.2382
ΔE_f (eV/atom): 0.160
DOS at the Fermi energy (states/eV per cell): 3.0